4
Lattice="3.7616 0.0000 0.0000 0.0000 5.3024 0.0000 0.0000 0.0000 5.3024" Properties=species:S:1:pos:R:3 comment="PBE Dy2ScHg, optimized geometry" dos_ef_per_ev_atom=1.45 de_polymorph_mev_per_atom=58 total_magnetization_mub_per_cell=0.00 spacegroup="P4/mmm (123)" pbc="T T T"
Sc 1.8808 0.0000 0.0000
Hg 1.8808 2.6512 2.6512
Dy 0.0000 0.0000 2.6512
Dy 0.0000 2.6512 0.0000